Entry 1:
The following is a GGA-PBE calculation of crystalline Rb2UPtSe5 at its relaxed geometry, from Alexandria via LeMat-Bulk.

## Properties
energy relative to the elements, uncorrected: -0.880 eV/atom

a b c (Å): 4.2807 21.2793 14.1547
angles (deg): 90.00 90.00 90.00
Last column: nearest neighbours and their distance in Å.
Space group Cmc2_1 (No. 36)
One atom of each set of equivalent atoms:
Rb1 0.0000 0.1206 0.0000 (multiplicity 4)  7 Se 3.49-3.74
Rb2 0.0000 0.1267 0.3610 (multiplicity 4)  4 Se 3.41-3.68, 2 Pt 3.69
U1 0.0000 0.2067 0.6859 (multiplicity 4)  6 Se 2.61-2.81
Pt1 0.0000 0.4006 0.0696 (multiplicity 4)  4 Se 2.38-2.50
Se1 0.0000 0.0772 0.6455 (multiplicity 4)  2 Pt 2.44
Se2 0.0000 0.2834 0.0599 (multiplicity 4)  1 Pt 2.50, 2 U 2.79
Se3 0.0000 0.3064 0.3128 (multiplicity 4)  2 U 2.81
Se4 0.0000 0.3294 0.6850 (multiplicity 4)  1 U 2.61
Se5 0.0000 0.4925 0.9734 (multiplicity 4)  1 Pt 2.38

=====

Entry 2:
The following is a GGA-PBE calculation of crystalline Ca2Tl3SnSe6 at its relaxed geometry, from Alexandria via LeMat-Bulk.

## Properties
energy relative to the elements, uncorrected: -0.871 eV/atom

a b c (Å): 7.3855 12.7695 7.7382
angles (deg): 90.00 109.13 90.00
Last column: nearest neighbours and their distance in Å.
Space group C2/m (No. 12)
One atom of each set of equivalent atoms:
Ca1 0.0000 0.1639 0.0000 (multiplicity 4)  6 Se 2.97-2.99
Tl1 0.0000 0.0000 0.5000 (multiplicity 2)  6 Se 3.18-3.34
Tl2 0.0000 0.3281 0.5000 (multiplicity 4)  6 Se 3.18-3.32
Sn1 0.0000 0.5000 0.0000 (multiplicity 2)  6 Se 2.76-2.82
Se1 0.2269 0.3442 0.2086 (multiplicity 8)  1 Sn 2.76, 2 Ca 2.97-2.99
Se2 0.2381 0.5000 0.7797 (multiplicity 4)  1 Sn 2.82, 2 Ca 2.98

=====

Entry 3:
The following is a GGA-PBE calculation of crystalline K2SiRh at its relaxed geometry, from Alexandria via LeMat-Bulk.

## Properties
energy relative to the elements, uncorrected: 0.571 eV/atom

a b c (Å): 5.2000 10.6025 3.4379
angles (deg): 90.00 90.00 90.00
Last column: nearest neighbours and their distance in Å.
Space group Cmmm (No. 65)
One atom of each set of equivalent atoms:
K1 0.2500 0.2500 0.0000 (multiplicity 4)  2 K 2.60
Si1 0.0000 0.0000 0.5000 (multiplicity 2)  2 Rh 2.60
Rh1 0.0000 0.5000 0.5000 (multiplicity 2)  2 Si 2.60

=====

Entry 4:
The following is a GGA-PBE calculation of crystalline Tb3Sm2ThSe6 at its relaxed geometry, from Alexandria via LeMat-Bulk.

## Properties
energy relative to the elements, uncorrected: -1.742 eV/atom

a b c (Å): 18.0989 4.1242 8.3199
angles (deg): 90.00 104.03 90.00
Last column: nearest neighbours and their distance in Å.
Space group C2/m (No. 12)
One atom of each set of equivalent atoms:
Tb1 0.0000 0.0000 0.0000 (multiplicity 2)  6 Se 2.87-2.92
Tb2 0.1651 0.5000 0.3340 (multiplicity 4)  6 Se 2.86-2.92
Sm1 0.1640 0.5000 0.8284 (multiplicity 4)  6 Se 2.92-2.98
Th1 0.0000 0.0000 0.5000 (multiplicity 2)  6 Se 2.98-2.99
Se1 0.0021 0.5000 0.2418 (multiplicity 4)  3 Tb 2.86-2.87, 1 Sm 2.92, 2 Th 2.98
Se2 0.1666 0.0000 0.0870 (multiplicity 4)  3 Tb 2.92, 3 Sm 2.97-2.98
Se3 0.1705 0.0000 0.5796 (multiplicity 4)  3 Tb 2.89, 2 Sm 2.94, 1 Th 2.99